Entry 1:
Below is an optimized crystal structure of MgAlRe2, with properties calculated at the GGA-PBE level.

Cell and atoms, written as POSCAR:
```
MgAlRe2
1.0
-1.240 -2.409 0.515
-0.095 -0.831 -4.113
4.821 -2.402 0.374
Al Mg Re
1 1 2
Direct
0.500 0.500 0.250 Al
0.500 0.500 0.750 Mg
0.000 0.000 0.020 Re
0.000 0.000 0.480 Re
```

Summary:
N(E_F)   0.868 states/eV/atom
Space-group type   No. 47
Distance to the lowest polymorph of the same formula   0.337 eV per atom
Formation enthalpy at 0 K   0.261 eV per atom
Crystal system   orthorhombic



Entry 2:
Below is an optimized crystal structure of Zr6TlBi3, with properties calculated at the GGA-PBE level.

Cell and atoms, written as POSCAR:
```
Zr6TlBi3
1.0
7.530 0.000 0.000
0.000 8.628 -0.894
0.000 -2.797 8.211
Zr Tl Bi
12 2 6
Direct
0.111 0.773 0.620 Zr
0.611 0.620 0.773 Zr
0.304 0.555 0.988 Zr
0.804 0.988 0.555 Zr
0.293 0.951 0.049 Zr
0.532 0.260 0.740 Zr
0.032 0.740 0.260 Zr
0.793 0.049 0.951 Zr
0.304 0.012 0.445 Zr
0.804 0.445 0.012 Zr
0.111 0.380 0.227 Zr
0.611 0.227 0.380 Zr
0.099 0.186 0.814 Tl
0.599 0.814 0.186 Tl
0.475 0.901 0.701 Bi
0.975 0.701 0.901 Bi
0.283 0.427 0.573 Bi
0.783 0.573 0.427 Bi
0.975 0.099 0.299 Bi
0.475 0.299 0.099 Bi
```

Summary:
N(E_F)   0.790 states/eV/atom
Space-group type   No. 36
Formation enthalpy at 0 K   -0.126 eV per atom
Crystal system   orthorhombic



Entry 3:
Below is an optimized crystal structure of MnP2Se, with properties calculated at the GGA-PBE level.

Cell and atoms, written as POSCAR:
```
MnP2Se
1.0
-3.188 0.576 0.619
0.039 -2.310 2.353
1.759 4.649 4.735
Mn P Se
1 2 1
Direct
0.500 0.880 0.776 Mn
0.000 0.866 0.061 P
0.500 0.366 0.061 P
0.000 0.387 0.602 Se
```

Summary:
N(E_F)   0.508 states/eV/atom
ΔE_f (raw)   -0.039 eV per atom
Space-group type   No. 6
Crystal system   monoclinic



Entry 4:
Below is an optimized crystal structure of Li4LaPd8, with properties calculated at the GGA-PBE level.

Cell and atoms, written as POSCAR:
```
Li4LaPd8
1.0
4.635 0.000 1.863
2.318 6.372 0.932
-0.059 0.000 6.844
Li La Pd
4 1 8
Direct
0.000 0.000 0.500 Li
0.500 0.000 0.500 Li
0.000 0.500 0.000 Li
0.500 0.500 0.000 Li
0.000 0.000 0.000 La
0.000 0.351 0.649 Pd
0.000 0.649 0.351 Pd
0.351 0.649 0.649 Pd
0.649 0.351 0.351 Pd
0.500 0.779 0.221 Pd
0.500 0.221 0.779 Pd
0.279 0.221 0.221 Pd
0.721 0.779 0.779 Pd
```

Summary:
N(E_F)   0.416 states/eV/atom
Space-group type   No. 139
Formation enthalpy at 0 K   -0.462 eV per atom
Crystal system   tetragonal



Entry 5:
Below is an optimized crystal structure of TlRhBr, with properties calculated at the GGA-PBE level.

Cell and atoms, written as POSCAR:
```
TlRhBr
1.0
-3.621 0.343 0.399
1.461 -0.196 -3.349
-0.545 -5.877 0.106
Tl Rh Br
1 1 1
Direct
0.333 0.667 0.628 Tl
0.667 0.333 0.333 Rh
0.000 0.000 0.038 Br
```

Summary:
N(E_F)   1.203 states/eV/atom
ΔE_f (raw)   0.176 eV per atom
Space-group type   No. 156
Distance to the lowest polymorph of the same formula   0.000 eV per atom
Crystal system   trigonal



Entry 6:
Below is an optimized crystal structure of LiHSeBrF, with properties calculated at the GGA-PBE level.

Cell and atoms, written as POSCAR:
```
LiHSeBrF
1.0
4.157 0.000 0.000
-1.834 3.849 0.000
-0.922 -0.649 6.936
Li H Se Br F
1 1 1 1 1
Direct
0.882 0.819 0.671 Li
0.423 0.889 0.159 H
0.619 0.669 0.147 Se
0.267 0.491 0.786 Br
0.860 0.853 0.413 F
```

Summary:
N(E_F)   0.000 states/eV/atom
Space-group type   No. 1
Distance to the lowest polymorph of the same formula   0.055 eV per atom
Crystal system   triclinic



Entry 7:
Below is an optimized crystal structure of Zr2PdC, with properties calculated at the GGA-PBE level.

Cell and atoms, written as POSCAR:
```
Zr2PdC
1.0
-2.297 -5.724 1.689
5.217 -1.047 3.547
-0.169 -1.895 5.453
C Zr Pd
2 4 2
Direct
0.500 0.500 0.000 C
0.250 0.750 0.500 C
0.562 0.125 0.250 Zr
0.188 0.625 0.250 Zr
0.375 0.438 0.750 Zr
0.875 0.812 0.750 Zr
0.000 0.000 0.000 Pd
0.750 0.250 0.500 Pd
```

Summary:
N(E_F)   0.584 states/eV/atom
Space-group type   No. 122
Formation enthalpy at 0 K   -0.226 eV per atom
Crystal system   tetragonal



Entry 8:
Below is an optimized crystal structure of Dy2HoAg2, with properties calculated at the GGA-PBE level.

Cell and atoms, written as POSCAR:
```
Dy2HoAg2
1.0
-0.202 0.903 -4.916
5.863 -2.372 -0.677
-2.376 -7.662 -1.310
Dy Ho Ag
4 2 4
Direct
0.250 0.902 0.858 Dy
0.750 0.098 0.142 Dy
0.250 0.159 0.446 Dy
0.750 0.841 0.554 Dy
0.250 0.683 0.253 Ho
0.750 0.317 0.747 Ho
0.250 0.570 0.614 Ag
0.750 0.430 0.386 Ag
0.250 0.368 0.978 Ag
0.750 0.632 0.022 Ag
```

Summary:
N(E_F)   0.939 states/eV/atom
Space-group type   No. 11
Distance to the lowest polymorph of the same formula   0.078 eV per atom
Formation enthalpy at 0 K   -0.162 eV per atom
Crystal system   monoclinic



Entry 9:
Below is an optimized crystal structure of CsNa2Hg, with properties calculated at the GGA-PBE level.

Cell and atoms, written as POSCAR:
```
CsNa2Hg
1.0
6.287 0.000 0.000
0.000 5.337 0.000
0.000 0.000 5.337
Cs Na Hg
1 2 1
Direct
0.500 0.500 0.500 Cs
0.000 0.000 0.500 Na
0.000 0.500 0.000 Na
0.500 0.000 0.000 Hg
```

Summary:
N(E_F)   0.554 states/eV/atom
Space-group type   No. 123
Formation enthalpy at 0 K   -0.040 eV per atom
Crystal system   tetragonal



Entry 10:
Below is an optimized crystal structure of LaCr2Rh2, with properties calculated at the GGA-PBE level.

Cell and atoms, written as POSCAR:
```
LaCr2Rh2
1.0
-3.202 1.599 2.354
-2.353 -3.481 -0.836
-0.920 -3.166 4.797
Cr Rh La
2 2 1
Direct
0.750 0.250 0.500 Cr
0.250 0.750 0.500 Cr
0.361 0.361 0.278 Rh
0.639 0.639 0.722 Rh
0.000 0.000 0.000 La
```

Summary:
N(E_F)   2.495 states/eV/atom
Space-group type   No. 139
Distance to the lowest polymorph of the same formula   0.046 eV per atom
Formation enthalpy at 0 K   0.004 eV per atom
Crystal system   tetragonal



Entry 11:
Below is an optimized crystal structure of Ti2AlSe, with properties calculated at the GGA-PBE level.

Cell and atoms, written as POSCAR:
```
Ti2AlSe
1.0
0.000 3.233 3.233
3.233 0.000 3.233
3.233 3.233 0.000
Al Se Ti
1 1 2
Direct
0.000 0.000 0.000 Al
0.500 0.500 0.500 Se
0.250 0.250 0.250 Ti
0.750 0.750 0.750 Ti
```

Summary:
N(E_F)   1.334 states/eV/atom
ΔE_f (raw)   -0.177 eV per atom
Space-group type   No. 225
Distance to the lowest polymorph of the same formula   0.342 eV per atom
Crystal system   cubic



Entry 12:
Below is an optimized crystal structure of TiCr2SbPd, with properties calculated at the GGA-PBE level.

Cell and atoms, written as POSCAR:
```
TiCr2SbPd
1.0
-2.166 1.626 -4.120
-1.355 -4.581 -1.096
-4.215 0.655 2.474
Sb Ti Pd Cr
1 1 1 2
Direct
0.000 0.000 0.000 Sb
0.500 0.500 0.500 Ti
0.000 0.500 0.000 Pd
0.000 0.000 0.500 Cr
0.500 0.000 0.000 Cr
```

Summary:
N(E_F)   1.780 states/eV/atom
ΔE_f (raw)   1.101 eV per atom
Space-group type   No. 123
Crystal system   tetragonal



Entry 13:
Below is an optimized crystal structure of Dy2Al2InNi5, with properties calculated at the GGA-PBE level.

Cell and atoms, written as POSCAR:
```
Dy2Al2InNi5
1.0
3.553 0.000 0.000
0.000 9.561 0.000
0.000 0.000 9.561
Dy Al In Ni
4 4 2 10
Direct
0.000 0.683 0.183 Dy
0.000 0.317 0.817 Dy
0.000 0.183 0.317 Dy
0.000 0.817 0.683 Dy
0.000 0.112 0.612 Al
0.000 0.888 0.388 Al
0.000 0.612 0.888 Al
0.000 0.388 0.112 Al
0.000 0.000 0.000 In
0.000 0.500 0.500 In
0.500 0.222 0.061 Ni
0.500 0.778 0.939 Ni
0.500 0.061 0.778 Ni
0.500 0.722 0.439 Ni
0.500 0.939 0.222 Ni
0.500 0.278 0.561 Ni
0.500 0.561 0.722 Ni
0.500 0.439 0.278 Ni
0.500 0.500 0.000 Ni
0.500 0.000 0.500 Ni
```

Summary:
N(E_F)   0.714 states/eV/atom
Space-group type   No. 127
Formation enthalpy at 0 K   -0.369 eV per atom
Crystal system   tetragonal